This record from the Alexandria database describes a relaxed structure of SeS2. The functional is PBE.

Summary:
* formation energy from raw total energies: 0.138 eV/atom
* polymorph energy (0 for the lowest one): 2.36 kcal/mol of atoms
* SG: P1 (1)

Cell: 5.678 6.341 6.616 Å, 105.27 108.86 101.90°
Atoms (fractional coordinates):
Se 0.000 0.000 0.000
Se 0.287 0.568 0.084
S 0.038 0.757 0.188
S 0.648 0.423 0.708
S 0.701 0.717 0.638
S 0.964 0.313 0.717